YTl2Se: optimized geometry, PBE.

Cell lengths 5.3069, 5.3069, 5.3069 Å; angles 60.00, 60.00, 60.00 degrees
Last column: nearest neighbours and their distance in Å.
Element x y z (fractional)
Tl 0.0000 0.0000 0.0000  4 Tl 3.25, 4 Y 3.25
Tl 0.2500 0.2500 0.2500  4 Tl 3.25, 4 Se 3.25
Se 0.5000 0.5000 0.5000  4 Y 3.25, 4 Tl 3.25
Y 0.7500 0.7500 0.7500  4 Tl 3.25, 4 Se 3.25

Results
The value obtained for the volume is 105.7 Å³/cell. For the offset from the most stable computed form, the calculation gives 331 meV/atom. Its symmetry is F-43m, No. 216. For the mass density, the calculation gives 9.1 g cm⁻³.